Entry 1:
## LiMg2W (SCAN)

Data for a crystal of LiMg2W relaxed with PBEsol.

energy above the lowest structure with this stoichiometry: 141 meV/atom
formation enthalpy at 0 K: 0.488 eV/atom

Unit cell a=2.669 b=4.517 c=5.885 alpha=90.00 beta=102.02 gamma=90.00
Space group P2/m (No. 10)
One atom of each set of equivalent atoms:
Li1 0.000 0.000 0.000 x1
Mg1 0.428 0.500 0.259 x2
W1 0.000 0.000 0.500 x1



Entry 2:
## LiYMg2 (SCAN)

Data for a crystal of LiYMg2 relaxed with PBEsol.

energy above the lowest structure with this stoichiometry: 87 meV/atom
formation enthalpy at 0 K: 0.014 eV/atom

Unit cell a=3.168 b=4.865 c=6.360 alpha=90.00 beta=104.11 gamma=90.00
Space group P2/m (No. 10)
One atom of each set of equivalent atoms:
Li1 0.000 0.000 0.000 x1
Y1 0.000 0.000 0.500 x1
Mg1 0.395 0.500 0.230 x2